1.
The following is a PBE calculation of crystalline LiNiTe at its relaxed geometry, from Alexandria.

The calculation puts the size of the total moment at 0.00 μB/atom. For the energy above the lowest structure with this stoichiometry, the calculation gives 271 meV/atom.

The structure belongs to space group Fmm2 (No. 42); the cell edges are 5.045, 5.067 and 7.660 Å and the angles 90.00°, 90.00° and 90.00°. Symmetry generates all atoms from Li at (0.000, 0.000, 0.000), Ni at (0.000, 0.000, 0.327) and Te at (0.000, 0.000, 0.669).

---

2.
The following is a PBE calculation of crystalline LiNiTe at its relaxed geometry, from Alexandria.

The calculation puts the size of the total moment at 0.00 μB/atom. For the energy above the lowest structure with this stoichiometry, the calculation gives 3 meV/atom.

The structure belongs to space group F-43m (No. 216); the cell edges are 5.921, 5.921 and 5.921 Å and the angles 90.00°, 90.00° and 90.00°. Symmetry generates all atoms from Li at (0.000, 0.000, 0.000), Ni at (0.250, 0.250, 0.250) and Te at (0.000, 0.000, 0.500).

---

3.
The following is a PBE calculation of crystalline LiNi2Te at its relaxed geometry, from Alexandria.

The calculation puts the size of the total moment at 0.00 μB/atom.

The structure belongs to space group C2/m (No. 12); the cell edges are 5.431, 8.700 and 3.012 Å and the angles 90.00°, 123.20° and 90.00°. Symmetry generates all atoms from Li at (0.000, 0.000, 0.000), Ni at (0.250, 0.250, 0.500) and Te at (0.000, 0.500, 0.000).

---

4.
The following is a PBE calculation of crystalline Li2NiTe at its relaxed geometry, from Alexandria.

The calculation puts the size of the total moment at 0.00 μB/atom.

The structure belongs to space group Pm (No. 6); the cell edges are 4.358, 4.523 and 4.811 Å and the angles 90.00°, 116.59° and 90.00°. Symmetry generates all atoms from Li at (0.000, 0.000, 0.000), Li at (0.284, 0.500, 0.566), Ni at (0.605, 0.500, 0.201) and Te at (0.684, 0.000, 0.372).

---

5.
The following is a PBE calculation of crystalline Li2NiTe at its relaxed geometry, from Alexandria.

The calculation puts the size of the total moment at 0.00 μB/atom.

The structure belongs to space group R-3m (No. 166, hexagonal axes); the cell edges are 3.1140, 3.1140 and 25.4579 Å and the angles 90.00°, 90.00° and 120.00°. Symmetry generates all atoms from Li at (0.0000, 0.0000, 0.2404), Ni at (0.0000, 0.0000, 0.5000) and Te at (0.0000, 0.0000, 0.0000).

---

6.
The following is a PBE calculation of crystalline LiNi2Te2 at its relaxed geometry, from Alexandria.

The calculation puts the size of the total moment at 0.00 μB/atom. For the energy above the lowest structure with this stoichiometry, the calculation gives 0 meV/atom.

The structure belongs to space group I4/mmm (No. 139); the cell edges are 3.770, 3.770 and 14.345 Å and the angles 90.00°, 90.00° and 90.00°. Symmetry generates all atoms from Li at (0.000, 0.000, 0.000), Ni at (0.000, 0.500, 0.250) and Te at (0.000, 0.000, 0.369).

---

7.
The following is a PBE calculation of crystalline Li2NiTe at its relaxed geometry, from Alexandria.

The calculation puts the size of the total moment at 0.00 μB/atom.

The structure belongs to space group P4/mmm (No. 123); the cell edges are 3.852, 3.852 and 4.151 Å and the angles 90.00°, 90.00° and 90.00°. Symmetry generates all atoms from Li at (0.000, 0.500, 0.000), Ni at (0.000, 0.000, 0.500) and Te at (0.500, 0.500, 0.500).

---

8.
The following is a PBE calculation of crystalline Li3NiTe at its relaxed geometry, from Alexandria.

The calculation puts the size of the total moment at 0.13 μB/atom. For the energy above the lowest structure with this stoichiometry, the calculation gives 0 meV/atom.

The structure belongs to space group Pm-3m (No. 221); the cell edges are 4.557, 4.557 and 4.557 Å and the angles 90.00°, 90.00° and 90.00°. Symmetry generates all atoms from Li at (0.000, 0.000, 0.500), Ni at (0.000, 0.000, 0.000) and Te at (0.500, 0.500, 0.500).

---

9.
The following is a PBE calculation of crystalline LiNi2Te at its relaxed geometry, from Alexandria.

The calculation puts the size of the total moment at 0.13 μB/atom.

The structure belongs to space group P4/mmm (No. 123); the cell edges are 3.878, 3.878 and 3.677 Å and the angles 90.00°, 90.00° and 90.00°. Symmetry generates all atoms from Li at (0.000, 0.000, 0.000), Ni at (0.000, 0.500, 0.500) and Te at (0.500, 0.500, 0.000).

---

10.
The following is a PBE calculation of crystalline LiNi2Te at its relaxed geometry, from Alexandria.

The calculation puts the size of the total moment at 0.00 μB/atom.

The structure belongs to space group I-4m2 (No. 119); the cell edges are 3.762, 3.762 and 7.748 Å and the angles 90.00°, 90.00° and 90.00°. Symmetry generates all atoms from Li at (0.000, 0.000, 0.000), Ni at (0.000, 0.000, 0.500), Ni at (0.000, 0.500, 0.750) and Te at (0.000, 0.500, 0.250).

---

11.
The following is a PBE calculation of crystalline Li2Ni2Te at its relaxed geometry, from Alexandria.

The calculation puts the size of the total moment at 0.00 μB/atom.

The structure belongs to space group P4/mbm (No. 127); the cell edges are 6.310, 6.310 and 4.050 Å and the angles 90.00°, 90.00° and 90.00°. Symmetry generates all atoms from Li at (0.164, 0.336, 0.000), Ni at (0.134, 0.634, 0.500) and Te at (0.000, 0.000, 0.500).

---

12.
The following is a PBE calculation of crystalline LiTiNiTe3 at its relaxed geometry, from Alexandria.

The calculation puts the size of the total moment at 0.00 μB/atom.

The structure belongs to space group P2_1/m (No. 11); the cell edges are 7.960, 3.790 and 9.659 Å and the angles 90.00°, 107.46° and 90.00°. Symmetry generates all atoms from Li at (0.231, 0.250, 0.276), Ti at (0.299, 0.750, 0.815), Ni at (0.085, 0.250, 0.595), Te at (0.070, 0.250, 0.853), Te at (0.256, 0.750, 0.526) and Te at (0.425, 0.750, 0.135).

---

Number 1: electronic total energy -46.30 eV/cell. Number 2: electronic total energy -49.52 eV/cell. Number 3: electronic total energy -32.59 eV/cell. Number 4: electronic total energy -14.04 eV/cell. Number 5: electronic total energy -37.63 eV/cell. Number 6: electronic total energy -42.24 eV/cell. Number 7: electronic total energy -14.40 eV/cell. Number 8: electronic total energy -14.72 eV/cell. Number 9: electronic total energy -17.32 eV/cell. Number 10: electronic total energy -34.67 eV/cell. Number 11: electronic total energy -38.41 eV/cell. Number 12: electronic total energy -57.43 eV/cell.